Below is an optimized crystal structure of Tb4Pm3Y5, with properties calculated at the PBE level.

Properties
* formation enthalpy at 0 K: 0.02 eV per atom
* distance to the lowest polymorph of the same formula: 0 meV/atom
* space group: P-1, No. 2

abc: 7.175 11.346 12.931
angles: 151.30 56.37 129.27
Fractional coordinates of all 12 atoms:
Y: 0.333 0.666 0.833
Y: 0.667 0.334 0.167
Y: 0.500 0.000 0.500
Y: 0.251 0.499 0.999
Y: 0.749 0.501 0.001
Tb: 0.082 0.166 0.333
Tb: 0.835 0.668 0.834
Tb: 0.165 0.332 0.166
Tb: 0.918 0.834 0.667
Pm: 0.000 0.000 0.500
Pm: 0.415 0.833 0.666
Pm: 0.585 0.167 0.334

***

Below is an optimized crystal structure of TbPmY, with properties calculated at the PBE level.

Properties
* formation enthalpy at 0 K: 0.12 eV per atom
* distance to the lowest polymorph of the same formula: 112 meV/atom
* space group: P-1, No. 2

abc: 3.546 6.140 9.653
angles: 89.40 90.07 73.35
Fractional coordinates of all 6 atoms:
Tb: 0.592 0.359 0.089
Tb: 0.853 0.832 0.952
Pm: 0.588 0.365 0.442
Pm: 0.857 0.827 0.598
Y: 0.315 0.911 0.269
Y: 0.131 0.281 0.772

***

Below is an optimized crystal structure of Tb6Pm2Y3, with properties calculated at the PBE level.

Properties
* formation enthalpy at 0 K: 0.18 eV per atom
* distance to the lowest polymorph of the same formula: 0 meV/atom
* space group: C2/m, No. 12

abc: 6.151 6.159 11.723
angles: 84.92 79.79 60.04
Fractional coordinates of all 11 atoms:
Y: 0.665 0.669 0.000
Y: 0.335 0.331 0.000
Y: 0.000 0.000 0.000
Pm: 0.833 0.333 0.500
Pm: 0.167 0.667 0.500
Tb: 0.750 0.000 0.751
Tb: 0.250 0.000 0.249
Tb: 0.083 0.334 0.751
Tb: 0.917 0.666 0.249
Tb: 0.583 0.334 0.249
Tb: 0.417 0.666 0.751

***

Below is an optimized crystal structure of TbPm2Y8, with properties calculated at the PBE level.

Properties
* formation enthalpy at 0 K: 0.16 eV per atom
* space group: C2/m, No. 12

abc: 5.922 9.075 9.227
angles: 60.54 74.82 57.83
Fractional coordinates of all 11 atoms:
Y: 0.167 0.671 0.231
Y: 0.297 0.423 0.000
Y: 0.500 0.792 0.416
Y: 0.833 0.098 0.231
Y: 0.167 0.902 0.769
Y: 0.703 0.577 0.000
Y: 0.500 0.208 0.584
Y: 0.833 0.329 0.769
Tb: 0.500 0.000 0.000
Pm: 0.000 0.306 0.388
Pm: 0.000 0.694 0.612

***

Below is an optimized crystal structure of Tb4PmY, with properties calculated at the PBE level.

Properties
* formation enthalpy at 0 K: 0.25 eV per atom
* distance to the lowest polymorph of the same formula: 237 meV/atom
* space group: F-43m, No. 216

abc: 6.607 6.607 6.607
angles: 60.00 60.00 60.00
Each line ends with the local moment (μB).
Fractional coordinates of all 6 atoms:
Tb: 0.625 0.625 0.625  0.02
Tb: 0.625 0.124 0.625  0.02
Tb: 0.124 0.625 0.625  0.02
Tb: 0.625 0.625 0.124  0.02
Y: 0.000 0.000 0.000  0.09
Pm: 0.250 0.250 0.250  0.10

***

Below is an optimized crystal structure of Tb3Pm6Y2, with properties calculated at the PBE level.

Properties
* formation enthalpy at 0 K: 0.29 eV per atom
* distance to the lowest polymorph of the same formula: 276 meV/atom
* space group: I4/mmm, No. 139

abc: 4.774 4.774 17.285
angles: 97.94 97.94 90.00
Fractional coordinates of all 11 atoms:
Pm: 0.621 0.121 0.243
Pm: 0.379 0.879 0.757
Pm: 0.879 0.379 0.757
Pm: 0.299 0.299 0.597
Pm: 0.701 0.701 0.403
Pm: 0.121 0.621 0.243
Tb: 0.198 0.198 0.395
Tb: 0.802 0.802 0.605
Tb: 0.000 0.000 0.000
Y: 0.454 0.454 0.909
Y: 0.546 0.546 0.091

***

Below is an optimized crystal structure of Tb2PmY, with properties calculated at the PBE level.

Properties
* formation enthalpy at 0 K: 0.02 eV per atom
* distance to the lowest polymorph of the same formula: 1 meV/atom
* space group: Imm2, No. 44

abc: 3.661 6.794 6.794
angles: 55.28 74.40 74.40
Fractional coordinates of all 4 atoms:
Y: 0.750 0.666 0.834
Tb: 0.000 0.082 0.916
Tb: 0.500 0.584 0.418
Pm: 0.250 0.168 0.332

***

Below is an optimized crystal structure of Tb3PmY8, with properties calculated at the PBE level.

Properties
* formation enthalpy at 0 K: 0.23 eV per atom
* space group: C2/m, No. 12

abc: 7.477 7.477 12.665
angles: 129.60 129.60 53.23
Fractional coordinates of all 12 atoms:
Y: 0.727 0.727 0.983
Y: 0.273 0.273 0.017
Y: 0.670 0.670 0.656
Y: 0.330 0.330 0.344
Y: 0.824 0.313 0.331
Y: 0.176 0.687 0.669
Y: 0.687 0.176 0.669
Y: 0.313 0.824 0.331
Tb: 0.347 0.347 0.818
Tb: 0.653 0.653 0.182
Tb: 0.000 0.000 0.500
Pm: 0.000 0.000 0.000

***

Below is an optimized crystal structure of Tb2PmY2, with properties calculated at the PBE level.

Properties
* formation enthalpy at 0 K: 0.12 eV per atom
* distance to the lowest polymorph of the same formula: 32 meV/atom
* space group: C2/m, No. 12

abc: 5.853 6.876 9.912
angles: 98.05 72.83 64.81
Fractional coordinates of all 10 atoms:
Pm: 0.702 0.748 0.848
Pm: 0.298 0.252 0.152
Tb: 0.890 0.764 0.456
Tb: 0.474 0.287 0.764
Tb: 0.526 0.713 0.236
Tb: 0.110 0.236 0.544
Y: 0.926 0.219 0.929
Y: 0.312 0.741 0.635
Y: 0.074 0.781 0.071
Y: 0.688 0.259 0.365

***

Below is an optimized crystal structure of Tb5Pm4Y, with properties calculated at the PBE level.

Properties
* formation enthalpy at 0 K: 0.01 eV per atom
* distance to the lowest polymorph of the same formula: 0 meV/atom
* space group: C2/m, No. 12

abc: 3.604 7.198 13.926
angles: 97.43 112.83 89.98
Fractional coordinates of all 10 atoms:
Pm: 0.698 0.699 0.799
Pm: 0.699 0.201 0.799
Pm: 0.301 0.799 0.201
Pm: 0.302 0.301 0.201
Tb: 0.102 0.100 0.401
Tb: 0.500 0.500 0.000
Tb: 0.898 0.900 0.599
Tb: 0.897 0.399 0.598
Tb: 0.103 0.601 0.402
Y: 0.500 0.000 0.000

***

Below is an optimized crystal structure of Tb4Pm2Y, with properties calculated at the PBE level.

Properties
* formation enthalpy at 0 K: 0.02 eV per atom
* distance to the lowest polymorph of the same formula: 0 meV/atom
* space group: R-3m, No. 166

abc: 3.586 3.586 20.588
angles: 85.00 85.00 60.00
Fractional coordinates of all 7 atoms:
Tb: 0.857 0.857 0.430
Tb: 0.143 0.143 0.570
Tb: 0.286 0.286 0.142
Tb: 0.714 0.714 0.858
Y: 0.000 0.000 0.000
Pm: 0.571 0.571 0.286
Pm: 0.429 0.429 0.714

***

Below is an optimized crystal structure of Tb12PmY6, with properties calculated at the PBE level.

Properties
* formation enthalpy at 0 K: 0.21 eV per atom
* distance to the lowest polymorph of the same formula: 0 meV/atom
* space group: R-3m, No. 166

abc: 8.725 8.725 8.725
angles: 98.60 98.60 98.60
Fractional coordinates of all 19 atoms:
Pm: 0.000 0.000 0.000
Tb: 0.500 0.757 0.243
Tb: 0.356 0.081 0.356
Tb: 0.919 0.644 0.644
Tb: 0.500 0.243 0.757
Tb: 0.644 0.919 0.644
Tb: 0.757 0.500 0.243
Tb: 0.243 0.757 0.500
Tb: 0.081 0.356 0.356
Tb: 0.243 0.500 0.757
Tb: 0.644 0.644 0.919
Tb: 0.356 0.356 0.081
Tb: 0.757 0.243 0.500
Y: 0.898 0.898 0.341
Y: 0.102 0.659 0.102
Y: 0.102 0.102 0.659
Y: 0.898 0.341 0.898
Y: 0.659 0.102 0.102
Y: 0.341 0.898 0.898